DFT (PBE-GGA) results for a geometry-optimized Ac2Zn2Ru structure.

Output
energy relative to the lowest polymorph listed for this composition	0	meV/atom
formation enthalpy at 0 K	-0.26	eV per atom
VASP energy	-4.271	eV/atom

abc: 4.142 6.240 11.183
angles: 87.67 79.33 70.67
Space group P-1 (No. 2)
Inequivalent atoms, fractional coordinates:
Ac1 0.078 0.207 0.136 (multiplicity 2)
Ac2 0.211 0.698 0.379 (multiplicity 2)
Zn1 0.379 0.653 0.089 (multiplicity 2)
Zn2 0.497 0.125 0.381 (multiplicity 2)
Ru1 0.268 0.157 0.805 (multiplicity 2)

DFT (PBE-GGA) results for a geometry-optimized PrPd2F8 structure.

Output
uncorrected formation energy	-24.0	eV/f.u.
VASP energy	-4.925	eV/atom

abc: 9.900 7.354 4.999
angles: 90.00 94.48 90.00
Space group C2/m (No. 12)
Inequivalent atoms, fractional coordinates:
Pr1 0.000 0.000 0.000 (multiplicity 2)
Pd1 0.116 0.500 0.259 (multiplicity 4)
F1 0.084 0.500 0.751 (multiplicity 4)
F2 0.113 0.228 0.251 (multiplicity 8)
F3 0.181 0.000 0.737 (multiplicity 4)

DFT (PBE-GGA) results for a geometry-optimized LiY2Pb9 structure.

Output
formation enthalpy at 0 K	-0.24	eV per atom
VASP energy	-4.257	eV/atom

abc: 4.828 4.828 14.838
angles: 90.00 90.00 90.00
Space group P4/mmm (No. 123)
Inequivalent atoms, fractional coordinates:
Li1 0.000 0.000 0.000 (multiplicity 1)
Y1 0.000 0.000 0.337 (multiplicity 2)
Pb1 0.000 0.500 0.161 (multiplicity 4)
Pb2 0.000 0.500 0.500 (multiplicity 2)
Pb3 0.500 0.500 0.000 (multiplicity 1)
Pb4 0.500 0.500 0.329 (multiplicity 2)

DFT (PBE-GGA) results for a geometry-optimized Sm4PtAu3 structure.

Output
formation enthalpy at 0 K	-0.93	eV per atom
VASP energy	-5.272	eV/atom

abc: 3.868 4.708 11.036
angles: 90.00 90.00 90.00
Space group Pmm2 (No. 25)
Inequivalent atoms, fractional coordinates:
Sm1 0.000 0.000 0.000 (multiplicity 1)
Sm2 0.000 0.500 0.266 (multiplicity 1)
Sm3 0.500 0.000 0.483 (multiplicity 1)
Sm4 0.500 0.500 0.769 (multiplicity 1)
Pt1 0.500 0.000 0.217 (multiplicity 1)
Au1 0.000 0.000 0.717 (multiplicity 1)
Au2 0.000 0.500 0.542 (multiplicity 1)
Au3 0.500 0.500 0.043 (multiplicity 1)